[1]
Al11Co6Si6 | meta-GGA SCAN | single point on PBEsol structure

Output
**Total DFT energy (no corrections)**: -11.233 eV/atom
**Formation energy (no corrections)**: -0.40 eV per atom

Unit cell a=8.016 b=21.128 c=8.263 alpha=90.00 beta=118.90 gamma=90.00
Atoms (fractional coordinates):
Al: 0.024 0.203 0.313
Al: 0.024 0.297 0.813
Al: 0.091 0.668 0.895
Al: 0.091 0.832 0.395
Al: 0.099 0.533 0.944
Al: 0.099 0.967 0.444
Al: 0.155 0.717 0.572
Al: 0.155 0.783 0.072
Al: 0.215 0.566 0.692
Al: 0.215 0.934 0.192
Al: 0.241 0.616 0.237
Al: 0.241 0.884 0.737
Al: 0.266 0.120 0.286
Al: 0.266 0.380 0.786
Al: 0.272 0.061 0.804
Al: 0.272 0.439 0.304
Al: 0.342 0.230 0.941
Al: 0.342 0.270 0.441
Al: 0.409 0.037 0.564
Al: 0.409 0.463 0.064
Al: 0.462 0.703 0.191
Al: 0.462 0.797 0.691
Al: 0.538 0.203 0.309
Al: 0.538 0.297 0.809
Al: 0.591 0.537 0.936
Al: 0.591 0.963 0.436
Al: 0.658 0.730 0.559
Al: 0.658 0.770 0.059
Al: 0.728 0.561 0.696
Al: 0.728 0.939 0.196
Al: 0.734 0.620 0.214
Al: 0.734 0.880 0.714
Al: 0.759 0.116 0.263
Al: 0.759 0.384 0.763
Al: 0.785 0.066 0.808
Al: 0.785 0.434 0.308
Al: 0.845 0.217 0.928
Al: 0.845 0.283 0.428
Al: 0.901 0.033 0.556
Al: 0.901 0.467 0.056
Al: 0.909 0.168 0.605
Al: 0.909 0.332 0.105
Al: 0.976 0.703 0.187
Al: 0.976 0.797 0.687
Co: 0.102 0.088 0.464
Co: 0.102 0.412 0.964
Co: 0.127 0.041 0.002
Co: 0.127 0.459 0.502
Co: 0.187 0.226 0.129
Co: 0.187 0.274 0.629
Co: 0.312 0.730 0.383
Co: 0.312 0.770 0.883
Co: 0.380 0.543 0.509
Co: 0.380 0.957 0.009
Co: 0.389 0.589 0.037
Co: 0.389 0.911 0.537
Co: 0.611 0.089 0.463
Co: 0.611 0.411 0.963
Co: 0.620 0.043 0.991
Co: 0.620 0.457 0.491
Co: 0.688 0.230 0.117
Co: 0.688 0.270 0.617
Co: 0.813 0.726 0.371
Co: 0.813 0.774 0.871
Co: 0.873 0.541 0.498
Co: 0.873 0.959 0.998
Co: 0.898 0.588 0.036
Co: 0.898 0.912 0.536
Si: 0.035 0.546 0.325
Si: 0.035 0.954 0.825
Si: 0.102 0.143 0.937
Si: 0.102 0.357 0.437
Si: 0.275 0.171 0.641
Si: 0.275 0.329 0.141
Si: 0.415 0.670 0.871
Si: 0.415 0.830 0.371
Si: 0.421 0.645 0.577
Si: 0.421 0.855 0.077
Si: 0.461 0.046 0.175
Si: 0.461 0.454 0.675
Si: 0.539 0.546 0.325
Si: 0.539 0.954 0.825
Si: 0.579 0.145 0.923
Si: 0.579 0.355 0.423
Si: 0.585 0.170 0.629
Si: 0.585 0.330 0.129
Si: 0.725 0.671 0.859
Si: 0.725 0.829 0.359
Si: 0.898 0.643 0.563
Si: 0.898 0.857 0.063
Si: 0.965 0.046 0.175
Si: 0.965 0.454 0.675

[2]
Al2CoSi | meta-GGA SCAN | single point on PBEsol structure

Output
**Total DFT energy (no corrections)**: -10.859 eV/atom
**Formation energy (no corrections)**: -0.15 eV per atom

Unit cell a=2.693 b=2.693 c=7.312 alpha=90.00 beta=90.00 gamma=90.00
Atoms (fractional coordinates):
Al: 0.000 0.000 0.209
Al: 0.000 0.000 0.791
Co: 0.500 0.500 0.000
Si: 0.500 0.500 0.500